No. 1
Material: AlCd2As
Method: DFT, SCAN
State: PBEsol geometry

As for the crystal system: tetragonal.

Lattice parameters (Å, degrees): 4.3354 4.3354 8.4044 90.00 90.00 90.00
Closest atoms and distances in Å follow each position.
Space group I-4m2 (No. 119)
Inequivalent atoms, fractional coordinates:
Al 0.0000 0.0000 0.0000  8 Cd 3.02-3.07, 4 As 3.02
Cd 0.0000 0.0000 0.5000  4 Cd 3.02, 4 As 3.02, 4 Al 3.07
Cd 0.0000 0.5000 0.7500  4 Al 3.02, 4 Cd 3.02, 4 As 3.07
As 0.0000 0.5000 0.2500  8 Cd 3.02-3.07, 4 Al 3.02



No. 2
Material: AlCd2As
Method: DFT, SCAN
State: PBEsol geometry

As for the crystal system: monoclinic.

Lattice parameters (Å, degrees): 2.8994 5.5357 5.0202 90.00 94.58 90.00
Closest atoms and distances in Å follow each position.
Space group P2/m (No. 10)
Inequivalent atoms, fractional coordinates:
Al 0.0000 0.0000 0.0000  4 As 2.80-3.00, 2 Al 2.90, 4 Cd 3.10
Cd 0.2607 0.5000 0.2480  6 Cd 2.79-3.05, 2 As 3.10, 2 Al 3.10
As 0.5000 0.0000 0.5000  4 Al 2.80-3.00, 2 As 2.90, 4 Cd 3.10



No. 3
Material: AlCd2As
Method: DFT, SCAN
State: PBEsol geometry

As for the crystal system: orthorhombic.

Lattice parameters (Å, degrees): 2.8067 5.1928 10.8970 90.00 90.00 90.00
Closest atoms and distances in Å follow each position.
Space group Immm (No. 71)
Inequivalent atoms, fractional coordinates:
Al 0.0000 0.0000 0.0000  2 Al 2.81, 4 As 2.95, 4 Cd 3.04
Cd 0.0000 0.5000 0.2530  6 Cd 2.81-2.95, 2 Al 3.04, 2 As 3.09
As 0.0000 0.0000 0.5000  2 As 2.81, 4 Al 2.95, 4 Cd 3.09



| no. | E_form (eV/atom) |
| --- | --- |
| 1 | 0.196 |
| 2 | 0.169 |
| 3 | 0.160 |